The following is a DFT calculation (PBE) of a geometry-optimized RbInF2 structure.

CIF file:
```
data_RbInF2
_cell_length_a 3.349
_cell_length_b 4.901
_cell_length_c 4.901
_cell_angle_alpha 90.00
_cell_angle_beta 90.00
_cell_angle_gamma 90.00
_symmetry_space_group_name_H-M 'P 1'
_symmetry_Int_Tables_number 1
loop_
_symmetry_equiv_pos_as_xyz
'x,y,z'
loop_
_atom_site_label
_atom_site_type_symbol
_atom_site_fract_x
_atom_site_fract_y
_atom_site_fract_z
_atom_site_occupancy
F1 F 0.000 0.000 0.500 1
F2 F 0.000 0.500 0.000 1
Rb1 Rb 0.500 0.000 0.000 1
In1 In 0.500 0.500 0.500 1
```

Calculated values
E_form (uncorrected) ... -1.990 eV per atom